No. 1
Material: Sr3CuN
Method: DFT, PBE
State: optimized geometry

Magnetization   0.0 Bohr magnetons per cell
N(E_F)   2.61 states/eV/cell
Energy relative to the lowest polymorph listed for this composition   0.000 eV/atom

a b c (Å): 5.218 5.218 5.218
angles (deg): 90.00 90.00 90.00
Fractional positions:
Sr 0.000 0.500 0.000
Sr 0.000 0.000 0.500
Sr 0.500 0.000 0.000
Cu 0.500 0.500 0.500
N 0.000 0.000 0.000

***

No. 2
Material: Sr4Cu2N
Method: DFT, PBE
State: optimized geometry

Electronic total energy   -24.319 eV/f.u.
Magnetization   0.0 Bohr magnetons per cell
N(E_F)   4.27 states/eV/cell

a b c (Å): 5.161 5.161 8.631
angles (deg): 107.40 107.40 90.00
Fractional positions:
Sr 0.832 0.832 0.664
Sr 0.168 0.168 0.336
Sr 0.000 0.500 0.000
Sr 0.500 0.000 0.000
Cu 0.631 0.631 0.261
Cu 0.369 0.369 0.739
N 0.000 0.000 0.000